PmYAlTc | PBE-GGA | relaxed

a b c (Å): 5.046 5.046 5.046
angles (deg): 60.00 60.00 60.00
Fractional positions:
Pm (0.000, 0.000, 0.000)
Y (0.500, 0.500, 0.500)
Al (0.750, 0.750, 0.750)
Tc (0.250, 0.250, 0.250)

Computed properties:
Calculated volume, A^3/atom: 22.715
Calculated total energy, eV per atom: -6.410

---

Tl3VCr2Se6 | PBE-GGA | relaxed

a b c (Å): 6.636 6.636 7.816
angles (deg): 98.16 98.16 120.03
Fractional positions:
Tl (0.000, 0.000, 0.000)
Tl (0.334, 0.666, 0.000)
Tl (0.666, 0.334, 0.000)
V (0.500, 0.500, 0.500)
Cr (0.167, 0.833, 0.500)
Cr (0.833, 0.167, 0.500)
Se (0.105, 0.440, 0.320)
Se (0.224, 0.224, 0.678)
Se (0.440, 0.105, 0.320)
Se (0.560, 0.895, 0.680)
Se (0.776, 0.776, 0.322)
Se (0.895, 0.560, 0.680)

Computed properties:
Calculated volume, A^3/atom: 23.808
Calculated total energy, eV per atom: -5.196